Entry 1:
Computed, not measured: crystalline LiTeRu2 at its relaxed geometry at the PBEsol level of DFT.

Values from the calculation:
Space-group type: P2/m (10)
Formation energy from raw total energies, eV per atom: 0.339

a b c (Å): 2.907 4.341 4.860
angles (deg): 90.00 89.68 90.00
Positions (direct):
1 Ru 0.711 0.000 0.775
2 Ru 0.289 0.000 0.225
3 Te 0.500 0.500 0.500
4 Li 0.000 0.500 0.000

---

Entry 2:
Computed, not measured: crystalline Sr2TcBPt at its relaxed geometry at the PBEsol level of DFT.

Values from the calculation:
Space-group type: P4/mmm (123)
ΔH_f (0 K), eV/atom: 0.6628

a b c (Å): 3.908 5.458 5.458
angles (deg): 90.00 90.00 90.00
Positions (direct):
1 B 0.500 0.000 0.000
2 Pt 0.500 0.500 0.500
3 Tc 0.000 0.000 0.000
4 Sr 0.000 0.500 0.000
5 Sr 0.000 0.000 0.500

---

Entry 3:
Computed, not measured: crystalline ZrTiSbI2 at its relaxed geometry at the PBEsol level of DFT.

Values from the calculation:
Space-group type: P4/mmm (123)
Formation energy from raw total energies, eV per atom: 0.444

a b c (Å): 5.497 5.497 5.679
angles (deg): 90.00 90.00 90.00
Positions (direct):
1 Sb 0.000 0.000 0.500
2 Zr 0.000 0.000 0.000
3 I 0.500 0.000 0.000
4 I 0.000 0.500 0.000
5 Ti 0.500 0.500 0.500

---

Entry 4:
Computed, not measured: crystalline AlZnAu2 at its relaxed geometry at the PBEsol level of DFT.

Values from the calculation:
Space-group type: Cm (8)
ΔH_f (0 K), eV/atom: -0.3086

a b c (Å): 3.250 4.393 4.832
angles (deg): 103.51 109.65 90.00
Positions (direct):
1 Zn 0.500 0.460 0.999
2 Au 0.756 0.300 0.513
3 Au 0.992 0.950 0.984
4 Al 0.252 0.790 0.504

---

Entry 5:
Computed, not measured: crystalline DyBiRu2O7 at its relaxed geometry at the PBEsol level of DFT.

Values from the calculation:
Space-group type: Imma (74)
Formation energy from raw total energies, eV per atom: -1.695

a b c (Å): 7.145 7.187 7.187
angles (deg): 60.22 60.20 60.20
Positions (direct):
1 O 0.920 0.418 0.331
2 O 0.921 0.829 0.329
3 O 0.384 0.866 0.366
4 O 0.920 0.831 0.918
5 O 0.331 0.831 0.918
6 O 0.669 0.169 0.082
7 O 0.331 0.418 0.331
8 O 0.616 0.134 0.634
9 O 0.079 0.171 0.671
10 O 0.666 0.584 0.084
11 O 0.080 0.582 0.669
12 O 0.080 0.169 0.082
13 O 0.334 0.416 0.916
14 O 0.669 0.582 0.669
15 Dy 0.500 0.500 0.500
16 Dy 0.500 0.000 0.000
17 Ru 0.000 0.000 0.000
18 Ru 0.000 0.500 0.000
19 Ru 0.500 0.500 0.000
20 Ru 0.000 0.500 0.500
21 Bi 0.500 0.000 0.500
22 Bi 0.000 0.000 0.500

---

Entry 6:
Computed, not measured: crystalline Ba2GaReIr at its relaxed geometry at the PBEsol level of DFT.

Values from the calculation:
Space-group type: P4/mmm (123)
ΔH_f (0 K), eV/atom: 0.7983

a b c (Å): 4.693 5.823 5.823
angles (deg): 90.00 90.00 90.00
Positions (direct):
1 Ba 0.000 0.500 0.000
2 Ba 0.000 0.000 0.500
3 Re 0.000 0.000 0.000
4 Ir 0.500 0.000 0.000
5 Ga 0.500 0.500 0.500

---

| no. | uncorrected energy (eV/cell) | size of the total moment (μB/cell) | density of states at the Fermi level (states/eV per atom) |
| --- | --- | --- | --- |
| 1 | -24.48 | 0.001 | 1.0222 |
| 2 | -25.61 | 0.000 | 0.6044 |
| 3 | -23.28 | 2.587 | 1.2726 |
| 4 | -14.76 | 0.000 | 0.2077 |
| 5 | -170.00 | 0.318 | 0.4903 |
| 6 | -26.80 | 0.001 | 0.8529 |